Entry 1:
A plane-wave DFT calculation with PBE-GGA was carried out for U2IrRu after structural relaxation.

```
data_U2IrRu
_cell_length_a 2.9681
_cell_length_b 4.1147
_cell_length_c 5.9525
_cell_angle_alpha 90.00
_cell_angle_beta 90.09
_cell_angle_gamma 90.00
_symmetry_space_group_name_H-M 'P 1 2/m 1'
_symmetry_Int_Tables_number 10
loop_
_symmetry_equiv_pos_as_xyz
'x,y,z'
'-x,-y,-z'
'-x,y,-z'
'x,-y,z'
loop_
_atom_site_label
_atom_site_fract_x
_atom_site_fract_y
_atom_site_fract_z
U1 0.0013 0.0000 0.2389
Ir1 0.5000 0.5000 0.5000
Ru1 0.5000 0.5000 0.0000
```

Properties
Calculated formation energy: -0.2490 eV per atom

***

Entry 2:
A plane-wave DFT calculation with PBE-GGA was carried out for U2Ir3Ru3 after structural relaxation.

```
data_U2Ir3Ru3
_cell_length_a 4.0204
_cell_length_b 4.0685
_cell_length_c 7.9466
_cell_angle_alpha 90.00
_cell_angle_beta 90.00
_cell_angle_gamma 90.00
_symmetry_space_group_name_H-M 'P m m m'
_symmetry_Int_Tables_number 47
loop_
_symmetry_equiv_pos_as_xyz
'x,y,z'
'-x,-y,-z'
'-x,-y,z'
'x,y,-z'
'x,-y,-z'
'-x,y,z'
'-x,y,-z'
'x,-y,z'
loop_
_atom_site_label
_atom_site_fract_x
_atom_site_fract_y
_atom_site_fract_z
U1 0.0000 0.0000 0.2465
Ir1 0.0000 0.5000 0.5000
Ir2 0.5000 0.5000 0.2503
Ru1 0.0000 0.5000 0.0000
Ru2 0.5000 0.0000 0.0000
Ru3 0.5000 0.0000 0.5000
```

Properties
Calculated formation energy: -0.5481 eV per atom

***

Entry 3:
A plane-wave DFT calculation with PBE-GGA was carried out for U4IrRu after structural relaxation.

```
data_U4IrRu
_cell_length_a 4.5873
_cell_length_b 5.1302
_cell_length_c 5.5119
_cell_angle_alpha 101.06
_cell_angle_beta 114.25
_cell_angle_gamma 90.07
_symmetry_space_group_name_H-M 'P -1'
_symmetry_Int_Tables_number 2
loop_
_symmetry_equiv_pos_as_xyz
'x,y,z'
'-x,-y,-z'
loop_
_atom_site_label
_atom_site_fract_x
_atom_site_fract_y
_atom_site_fract_z
U1 0.1669 0.0194 0.3424
U2 0.3288 0.4861 0.6508
Ir1 0.0000 0.5000 0.0000
Ru1 0.5000 0.0000 0.0000
```

Properties
Calculated formation energy: -0.2564 eV per atom

***

Entry 4:
A plane-wave DFT calculation with PBE-GGA was carried out for U2IrRu after structural relaxation.

```
data_U2IrRu
_cell_length_a 4.2110
_cell_length_b 4.2110
_cell_length_c 4.1104
_cell_angle_alpha 90.00
_cell_angle_beta 90.00
_cell_angle_gamma 90.00
_symmetry_space_group_name_H-M 'P 4/m m m'
_symmetry_Int_Tables_number 123
_symmetry_space_group_name_Hall '-P 4 2'
loop_
_atom_site_label
_atom_site_fract_x
_atom_site_fract_y
_atom_site_fract_z
U1 0.0000 0.5000 0.0000
Ir1 0.0000 0.0000 0.5000
Ru1 0.5000 0.5000 0.5000
```

Properties
Calculated formation energy: -0.2534 eV per atom

***

Entry 5:
A plane-wave DFT calculation with PBE-GGA was carried out for UZnIrRu after structural relaxation.

```
data_UZnIrRu
_cell_length_a 6.4869
_cell_length_b 6.4869
_cell_length_c 6.4869
_cell_angle_alpha 90.00
_cell_angle_beta 90.00
_cell_angle_gamma 90.00
_symmetry_space_group_name_H-M 'F -4 3 m'
_symmetry_Int_Tables_number 216
_symmetry_space_group_name_Hall 'F -4 2 3'
loop_
_atom_site_label
_atom_site_fract_x
_atom_site_fract_y
_atom_site_fract_z
U1 0.0000 0.0000 0.0000
Zn1 0.0000 0.0000 0.5000
Ir1 0.2500 0.2500 0.2500
Ru1 0.2500 0.2500 0.7500
```

Properties
Calculated formation energy: -0.2914 eV per atom
Energy relative to the lowest polymorph listed for this composition: 0.0383 eV per atom

***

Entry 6:
A plane-wave DFT calculation with PBE-GGA was carried out for UZnIrRu after structural relaxation.

```
data_UZnIrRu
_cell_length_a 4.2924
_cell_length_b 4.2924
_cell_length_c 7.3087
_cell_angle_alpha 90.00
_cell_angle_beta 90.00
_cell_angle_gamma 90.00
_symmetry_space_group_name_H-M 'I -4 m 2'
_symmetry_Int_Tables_number 119
_symmetry_space_group_name_Hall 'I -4 -2'
loop_
_atom_site_label
_atom_site_fract_x
_atom_site_fract_y
_atom_site_fract_z
U1 0.0000 0.0000 0.0000
Zn1 0.0000 0.0000 0.5000
Ir1 0.0000 0.5000 0.2500
Ru1 0.0000 0.5000 0.7500
```

Properties
Calculated formation energy: -0.3297 eV per atom
Energy relative to the lowest polymorph listed for this composition: 0.0000 eV per atom

***

no.,total magnetization (Bohr magnetons per cell),DOS at the Fermi energy (states/eV/cell)
1,0.00,5.91
2,0.00,5.34
3,0.00,14.41
4,0.00,6.17
5,5.37,21.94
6,1.65,9.60